PBE-GGA Dy2Er8Th, relaxed; space-group type = C2/m, No. 12; energy of formation from the pure elements = 0.03 eV per atom; V = 340.44 Å³ per cell
1.0
8.9825 -2.4935 0.0000
8.9825 2.4935 0.0000
-2.0698 0.0000 7.6000
Dy Er Th
2 8 1
Direct
0.2282 0.2282 0.1361 Dy
0.7718 0.7718 0.8639 Dy
0.0448 0.0448 0.2312 Er
0.1355 0.1355 0.6799 Er
0.3194 0.3194 0.5924 Er
0.4096 0.4096 0.0468 Er
0.5904 0.5904 0.9532 Er
0.6806 0.6806 0.4076 Er
0.8645 0.8645 0.3201 Er
0.9552 0.9552 0.7688 Er
0.5000 0.5000 0.5000 Th